DFT (PBE) results for a geometry-optimized Sn3SbW structure.

Unit cell a=5.4885 b=5.4885 c=5.4885 alpha=90.00 beta=90.00 gamma=90.00
Space group Pm-3m (No. 221)
Symmetry-distinct sites (fractional):
Sn (0.0000, 0.0000, 0.5000) x3
Sb (0.0000, 0.0000, 0.0000) x1
W (0.5000, 0.5000, 0.5000) x1

Results
Density of states at the Fermi level, states/eV/f.u.: 8.4
Calculated density, g/cm3: 6.65
Magnetic moment, μB per atom: 0.00
Polymorph energy (0 for the lowest one), eV per atom: 1.356


DFT (PBE) results for a geometry-optimized DyTl2InSe4 structure.

Unit cell a=8.5916 b=8.6400 c=12.3325 alpha=90.00 beta=90.00 gamma=90.00
Space group Imma (No. 74)
Symmetry-distinct sites (fractional):
Dy (0.2500, 0.2500, 0.2500) x4
Tl (0.0000, 0.0000, 0.0000) x4
Tl (0.2500, 0.2500, 0.7500) x4
In (0.0000, 0.0000, 0.5000) x4
Se (0.0000, 0.0266, 0.2640) x8
Se (0.2195, 0.2500, 0.4875) x8

Results
Density of states at the Fermi level, states/eV/f.u.: 0.7
Calculated density, g/cm3: 7.27
Energy, eV per cell: -132.21
Magnetic moment, μB per atom: 0.00


Please write out number 1 again, unchanged.
DFT (PBE) results for a geometry-optimized Sn3SbW structure.

Unit cell a=5.4885 b=5.4885 c=5.4885 alpha=90.00 beta=90.00 gamma=90.00
Space group Pm-3m (No. 221)
Symmetry-distinct sites (fractional):
Sn (0.0000, 0.0000, 0.5000) x3
Sb (0.0000, 0.0000, 0.0000) x1
W (0.5000, 0.5000, 0.5000) x1

Results
Density of states at the Fermi level, states/eV/f.u.: 8.4
Calculated density, g/cm3: 6.65
Magnetic moment, μB per atom: 0.00
Polymorph energy (0 for the lowest one), eV per atom: 1.356